Entry 1:
Entry from Alexandria: a geometry-optimized Ba2SrSe structure (PBE).

Output
- polymorph energy (0 for the lowest one) (meV/atom) = 82
- E_form (uncorrected) (eV per formula unit) = -3.38
- calculated total energy (eV/cell) = -12.39

Geometry as CIF:
```
data_Ba2SrSe
_symmetry_space_group_name_H-M 'P 1 2/m 1'
_symmetry_Int_Tables_number 10
_cell_length_a 6.304
_cell_length_b 4.542
_cell_length_c 7.912
_cell_angle_alpha 90.00
_cell_angle_beta 113.31
_cell_angle_gamma 90.00
loop_
_symmetry_equiv_pos_as_xyz
'x,y,z'
'-x,-y,-z'
'-x,y,-z'
'x,-y,z'
loop_
_atom_site_label
_atom_site_type_symbol
_atom_site_fract_x
_atom_site_fract_y
_atom_site_fract_z
Ba1 Ba 0.158 0.000 0.317
Sr1 Sr 0.500 0.500 0.000
Se1 Se 0.000 0.500 0.000
```

Entry 2:
Entry from Alexandria: a geometry-optimized P2Rh structure (PBE).

Output
- ΔE_f (eV/f.u.) = -0.17
- calculated total energy (eV/cell) = -73.35

Geometry as CIF:
```
data_P2Rh
_symmetry_space_group_name_H-M 'I 4/m c m'
_symmetry_Int_Tables_number 140
_symmetry_space_group_name_Hall '-I 4 2c'
_cell_length_a 5.598
_cell_length_b 5.598
_cell_length_c 5.571
_cell_angle_alpha 90.00
_cell_angle_beta 90.00
_cell_angle_gamma 90.00
loop_
_atom_site_label
_atom_site_type_symbol
_atom_site_fract_x
_atom_site_fract_y
_atom_site_fract_z
P1 P 0.146 0.354 0.000
Rh1 Rh 0.000 0.000 0.250
```

Entry 3:
Entry from Alexandria: a geometry-optimized RbMgNb structure (PBE).

Output
- polymorph energy (0 for the lowest one) (meV/atom) = 87
- ΔE_f (eV/f.u.) = 1.41
- calculated total energy (eV/cell) = -22.44

Geometry as CIF:
```
data_RbMgNb
_symmetry_space_group_name_H-M 'P 1'
_symmetry_Int_Tables_number 1
_cell_length_a 3.471
_cell_length_b 4.945
_cell_length_c 13.207
_cell_angle_alpha 100.75
_cell_angle_beta 90.29
_cell_angle_gamma 90.00
loop_
_symmetry_equiv_pos_as_xyz
'x,y,z'
loop_
_atom_site_label
_atom_site_type_symbol
_atom_site_fract_x
_atom_site_fract_y
_atom_site_fract_z
Rb1 Rb 0.000 0.000 0.000
Rb2 Rb 0.471 0.664 0.329
Mg1 Mg 0.492 0.285 0.569
Mg2 Mg 0.995 0.379 0.760
Nb1 Nb 0.494 0.868 0.737
Nb2 Nb 0.991 0.796 0.592
```

Entry 4:
Entry from Alexandria: a geometry-optimized NaZrAgI6 structure (PBE).

Output
- E_form (uncorrected) (eV per formula unit) = -7.15
- calculated total energy (eV/cell) = -58.34

Geometry as CIF:
```
data_NaZrAgI6
_symmetry_space_group_name_H-M 'P -3 1 c'
_symmetry_Int_Tables_number 163
_symmetry_space_group_name_Hall '-P 3 2c'
_cell_length_a 7.6288
_cell_length_b 7.6288
_cell_length_c 14.1423
_cell_angle_alpha 90.00
_cell_angle_beta 90.00
_cell_angle_gamma 120.00
loop_
_atom_site_label
_atom_site_type_symbol
_atom_site_fract_x
_atom_site_fract_y
_atom_site_fract_z
Na1 Na 0.0000 0.0000 0.0000
Zr1 Zr 0.3333 0.6667 0.2500
Ag1 Ag 0.3333 0.6667 0.7500
I1 I 0.0177 0.3655 0.1317
```

Entry 5:
Entry from Alexandria: a geometry-optimized K4Pu3PdO12 structure (PBE).

Output
- E_form (uncorrected) (eV per formula unit) = -43.36
- calculated total energy (eV/cell) = -310.88

Geometry as CIF:
```
data_K4Pu3PdO12
_symmetry_space_group_name_H-M 'I m -3 m'
_symmetry_Int_Tables_number 229
_symmetry_space_group_name_Hall '-I 4 2 3'
_cell_length_a 8.483
_cell_length_b 8.483
_cell_length_c 8.483
_cell_angle_alpha 90.00
_cell_angle_beta 90.00
_cell_angle_gamma 90.00
loop_
_atom_site_label
_atom_site_type_symbol
_atom_site_fract_x
_atom_site_fract_y
_atom_site_fract_z
K1 K 0.250 0.250 0.250
Pu1 Pu 0.000 0.000 0.500
Pd1 Pd 0.000 0.000 0.000
O1 O 0.000 0.000 0.268
O2 O 0.000 0.250 0.500
```

Entry 6:
Entry from Alexandria: a geometry-optimized NdErNbN3 structure (PBE).

Output
- E_form (uncorrected) (eV per formula unit) = -6.57
- calculated total energy (eV/cell) = -101.90

Geometry as CIF:
```
data_NdErNbN3
_symmetry_space_group_name_H-M 'P 1 21/m 1'
_symmetry_Int_Tables_number 11
_cell_length_a 6.638
_cell_length_b 3.350
_cell_length_c 9.389
_cell_angle_alpha 90.00
_cell_angle_beta 95.48
_cell_angle_gamma 90.00
loop_
_symmetry_equiv_pos_as_xyz
'x,y,z'
'-x,-y,-z'
'-x,y+1/2,-z'
'x,-y+1/2,z'
loop_
_atom_site_label
_atom_site_type_symbol
_atom_site_fract_x
_atom_site_fract_y
_atom_site_fract_z
Nd1 Nd 0.195 0.250 0.238
Er1 Er 0.342 0.750 0.886
Nb1 Nb 0.138 0.250 0.580
N1 N 0.116 0.250 0.795
N2 N 0.195 0.750 0.458
N3 N 0.402 0.750 0.125
```

Entry 7:
Entry from Alexandria: a geometry-optimized CoCuRh structure (PBE).

Output
- polymorph energy (0 for the lowest one) (meV/atom) = 11
- ΔE_f (eV/f.u.) = 0.27
- calculated total energy (eV/cell) = -18.29

Geometry as CIF:
```
data_CoCuRh
_symmetry_space_group_name_H-M 'P 3 m 1'
_symmetry_Int_Tables_number 156
_cell_length_a 2.6396
_cell_length_b 2.6396
_cell_length_c 6.3176
_cell_angle_alpha 90.00
_cell_angle_beta 90.00
_cell_angle_gamma 120.00
loop_
_symmetry_equiv_pos_as_xyz
'x,y,z'
'-y,x-y,z'
'-x+y,-x,z'
'-y,-x,z'
'-x+y,y,z'
'x,x-y,z'
loop_
_atom_site_label
_atom_site_type_symbol
_atom_site_fract_x
_atom_site_fract_y
_atom_site_fract_z
Co1 Co 0.0000 0.0000 0.0000
Cu1 Cu 0.6667 0.3333 0.3246
Rh1 Rh 0.3333 0.6667 0.6743
```

Entry 8:
Entry from Alexandria: a geometry-optimized Ho3CuAg2 structure (PBE).

Output
- ΔE_f (eV/f.u.) = -1.83
- calculated total energy (eV/cell) = -25.37

Geometry as CIF:
```
data_Ho3CuAg2
_symmetry_space_group_name_H-M 'P 4/m m m'
_symmetry_Int_Tables_number 123
_symmetry_space_group_name_Hall '-P 4 2'
_cell_length_a 3.549
_cell_length_b 3.549
_cell_length_c 10.814
_cell_angle_alpha 90.00
_cell_angle_beta 90.00
_cell_angle_gamma 90.00
loop_
_atom_site_label
_atom_site_type_symbol
_atom_site_fract_x
_atom_site_fract_y
_atom_site_fract_z
Ho1 Ho 0.000 0.000 0.000
Ho2 Ho 0.000 0.000 0.344
Cu1 Cu 0.500 0.500 0.500
Ag1 Ag 0.500 0.500 0.171
```

Entry 9:
Entry from Alexandria: a geometry-optimized Y2Ag6Pd structure (PBE).

Output
- ΔE_f (eV/f.u.) = -2.49
- calculated total energy (eV/cell) = -75.43

Geometry as CIF:
```
data_Y2Ag6Pd
_symmetry_space_group_name_H-M 'C 1 2/m 1'
_symmetry_Int_Tables_number 12
_cell_length_a 13.646
_cell_length_b 4.036
_cell_length_c 7.050
_cell_angle_alpha 90.00
_cell_angle_beta 112.06
_cell_angle_gamma 90.00
loop_
_symmetry_equiv_pos_as_xyz
'x,y,z'
'-x,-y,-z'
'-x,y,-z'
'x,-y,z'
'x+1/2,y+1/2,z'
'-x+1/2,-y+1/2,-z'
'-x+1/2,y+1/2,-z'
'x+1/2,-y+1/2,z'
loop_
_atom_site_label
_atom_site_type_symbol
_atom_site_fract_x
_atom_site_fract_y
_atom_site_fract_z
Y1 Y 0.058 0.000 0.311
Ag1 Ag 0.110 0.500 0.671
Ag2 Ag 0.170 0.000 0.999
Ag3 Ag 0.230 0.500 0.323
Pd1 Pd 0.000 0.500 0.000
```

Entry 10:
Entry from Alexandria: a geometry-optimized TbGa2Ge structure (PBE).

Output
- polymorph energy (0 for the lowest one) (meV/atom) = 0
- ΔE_f (eV/f.u.) = -2.04
- calculated total energy (eV/cell) = -17.34

Geometry as CIF:
```
data_TbGa2Ge
_symmetry_space_group_name_H-M 'P 4/m m m'
_symmetry_Int_Tables_number 123
_symmetry_space_group_name_Hall '-P 4 2'
_cell_length_a 4.228
_cell_length_b 4.228
_cell_length_c 4.445
_cell_angle_alpha 90.00
_cell_angle_beta 90.00
_cell_angle_gamma 90.00
loop_
_atom_site_label
_atom_site_type_symbol
_atom_site_fract_x
_atom_site_fract_y
_atom_site_fract_z
Tb1 Tb 0.000 0.000 0.000
Ga1 Ga 0.000 0.500 0.500
Ge1 Ge 0.500 0.500 0.000
```

Entry 11:
Entry from Alexandria: a geometry-optimized Na4Pm3SiO8 structure (PBE).

Output
- E_form (uncorrected) (eV per formula unit) = -37.65
- calculated total energy (eV/cell) = -306.81

Geometry as CIF:
```
data_Na4Pm3SiO8
_symmetry_space_group_name_H-M 'R -3 m'
_symmetry_Int_Tables_number 166
_symmetry_space_group_name_Hall '-R 3 2"'
_cell_length_a 6.7881
_cell_length_b 6.7881
_cell_length_c 16.8651
_cell_angle_alpha 90.00
_cell_angle_beta 90.00
_cell_angle_gamma 120.00
loop_
_atom_site_label
_atom_site_type_symbol
_atom_site_fract_x
_atom_site_fract_y
_atom_site_fract_z
Na1 Na 0.0000 0.0000 0.0000
Na2 Na 0.0000 0.5000 0.0000
Pm1 Pm 0.0000 0.5000 0.5000
Si1 Si 0.0000 0.0000 0.5000
O1 O 0.0000 0.0000 0.2428
O2 O 0.0622 0.5311 0.2295
```

Entry 12:
Entry from Alexandria: a geometry-optimized Ac2YBePd6 structure (PBE).

Output
- ΔE_f (eV/f.u.) = -6.27
- calculated total energy (eV/cell) = -55.84

Geometry as CIF:
```
data_Ac2YBePd6
_symmetry_space_group_name_H-M 'P -1'
_symmetry_Int_Tables_number 2
_cell_length_a 6.046
_cell_length_b 6.047
_cell_length_c 8.027
_cell_angle_alpha 68.11
_cell_angle_beta 67.94
_cell_angle_gamma 60.04
loop_
_symmetry_equiv_pos_as_xyz
'x,y,z'
'-x,-y,-z'
loop_
_atom_site_label
_atom_site_type_symbol
_atom_site_fract_x
_atom_site_fract_y
_atom_site_fract_z
Ac1 Ac 0.240 0.240 0.280
Y1 Y 0.000 0.000 0.000
Be1 Be 0.500 0.500 0.500
Pd1 Pd 0.218 0.732 0.318
Pd2 Pd 0.267 0.785 0.681
Pd3 Pd 0.268 0.269 0.682
```

Spin magnetization values (in μB per formula unit) by entry order: 0.4, 0.0, 0.0, 0.0, 7.8, 0.0, 2.4, 0.0, 0.0, 0.0, 0.0, 0.0.